A plane-wave DFT calculation with PBE with a Hubbard U was carried out for a relaxed structure of FeAgSeO4.

abc: 7.173 6.354 6.354
angles: 58.79 55.63 55.63
Fractional positions:
Fe: 0.000 0.000 0.000
Fe: 0.000 0.500 0.500
Ag: 0.500 0.000 0.500
Ag: 0.000 0.000 0.500
Se: 0.607 0.643 0.143
Se: 0.393 0.357 0.857
O: 0.729 0.738 0.805
O: 0.271 0.695 0.762
O: 0.729 0.305 0.238
O: 0.271 0.262 0.195
O: 0.185 0.747 0.247
O: 0.821 0.747 0.247
O: 0.179 0.253 0.753
O: 0.815 0.253 0.753

* energy: -73.55 eV per cell